Entry 1:
Below is Cd2InAg after structural relaxation, with properties calculated at the PBEsol level.

Unit cell a=5.3208 b=5.3208 c=5.3208 alpha=132.39 beta=132.39 gamma=69.61
Last column: nearest neighbours and their distance in Å.
Sites, in units of the cell vectors:
Cd  0.0000  0.0000  0.0000  4 In 3.04, 4 Cd 3.06, 4 Ag 3.06
Cd  0.7500  0.2500  0.5000  4 Ag 3.04, 4 Cd 3.06, 4 In 3.06
In  0.5000  0.5000  0.0000  8 Cd 3.04-3.06, 4 Ag 3.06
Ag  0.2500  0.7500  0.5000  8 Cd 3.04-3.06, 4 In 3.06

Results
The energy of formation from the pure elements comes out at 0.011 eV per atom. Its space group is I-4m2 (119).

***

Entry 2:
Below is BeAsCl2 after structural relaxation, with properties calculated at the PBEsol level.

Unit cell a=4.8375 b=4.8375 c=3.1034 alpha=90.00 beta=90.00 gamma=104.71
Last column: nearest neighbours and their distance in Å.
Sites, in units of the cell vectors:
Be  0.0000  0.0000  0.0000  8 Cl 2.87, 2 As 2.95, 2 Be 3.10
As  0.5000  0.5000  0.0000  8 Cl 2.87, 2 Be 2.95, 2 As 3.10
Cl  0.0000  0.5000  0.5000  4 Be 2.87, 4 As 2.87, 4 Cl 2.95-3.10
Cl  0.5000  0.0000  0.5000  4 Be 2.87, 4 As 2.87, 4 Cl 2.95-3.10

Results
For the energy relative to the elements, uncorrected, the calculation gives 12.80 kcal/mol of atoms. Its space group is Cmmm (65). The distance to the lowest polymorph of the same formula is 0.700 eV per atom.

***

Entry 3:
Below is HfScTi2 after structural relaxation, with properties calculated at the PBEsol level.

Unit cell a=4.7620 b=4.7620 c=4.7620 alpha=60.00 beta=60.00 gamma=60.00
Last column: nearest neighbours and their distance in Å.
Sites, in units of the cell vectors:
Hf  0.0000  0.0000  0.0000  8 Ti 2.92
Sc  0.5000  0.5000  0.5000  8 Ti 2.92
Ti  0.2500  0.2500  0.2500  4 Hf 2.92, 4 Sc 2.92
Ti  0.7500  0.7500  0.7500  4 Hf 2.92, 4 Sc 2.92

Results
The energy of formation from the pure elements comes out at 0.200 eV per atom. Its space group is Fm-3m (225).

***

Entry 4:
Below is CrFe4Pt after structural relaxation, with properties calculated at the PBEsol level.

Unit cell a=4.6297 b=4.6297 c=4.6297 alpha=60.00 beta=60.00 gamma=60.00
Last column: nearest neighbours and their distance in Å.
Sites, in units of the cell vectors:
Cr  0.0000  0.0000  0.0000  12 Fe 2.71, 4 Pt 2.84
Fe  0.3752  0.3752  0.3752  6 Fe 2.31-2.32
Fe  0.3752  0.3752  0.8745  6 Fe 2.31-2.32
Fe  0.3752  0.8745  0.3752  6 Fe 2.31-2.32
Fe  0.8745  0.3752  0.3752  6 Fe 2.31-2.32
Pt  0.7500  0.7500  0.7500  12 Fe 2.71, 4 Cr 2.84

Results
The energy of formation from the pure elements comes out at -0.024 eV per atom. Its space group is F-43m (216).

***

What did we get for Fermi-level density of states? Answer: 1.3, 1.8, 8.3, 4.1 states/eV/f.u., in the order shown.